Here is Rb2LiAg after structural relaxation from the Alexandria database. Energies are from PBE.

Cell lengths 6.2935, 6.2935, 6.2935 Å; angles 60.00, 60.00, 60.00 degrees
Fractional coordinates of all 4 atoms:
Rb  0.2500  0.2500  0.2500
Rb  0.7500  0.7500  0.7500
Ag  0.5000  0.5000  0.5000
Li  0.0000  0.0000  0.0000

Properties
The value obtained for the energy above the most stable polymorph in this dataset is 67.8 meV per atom. The value obtained for the calculated total energy is -5.9 eV per cell. The formation energy is 0.195 eV per atom.